VASP calculation (PBE-GGA) on NiBSeN2 after structural relaxation.

Cell: 3.404 3.404 8.183 Å, 90.00 90.00 90.00°
Element x y z (fractional)
1 N 0.500 0.000 0.000
2 N 0.000 0.500 0.000
3 Ni 0.000 0.000 0.000
4 B 0.500 0.500 0.500
5 Se 0.000 0.000 0.500

DOS(E_F) ... 1.04 states/eV/f.u.
Total magnetization ... 0.00 μB per formula unit
Polymorph energy (0 for the lowest one) ... 0.613 eV per atom
Energy relative to the elements, uncorrected ... 1618 meV/atom
VASP energy ... -4.9005 eV per atom


VASP calculation (PBE-GGA) on NiBSe2N after structural relaxation.

Cell: 4.938 4.938 3.346 Å, 90.00 90.00 90.00°
Element x y z (fractional)
1 Ni 0.000 0.000 0.000
2 Se 0.000 0.500 0.000
3 Se 0.500 0.000 0.000
4 B 0.500 0.500 0.500
5 N 0.000 0.000 0.500

DOS(E_F) ... 3.40 states/eV/f.u.
Total magnetization ... 0.00 μB per formula unit
Polymorph energy (0 for the lowest one) ... 0.890 eV per atom
Energy relative to the elements, uncorrected ... 1284 meV/atom
VASP energy ... -4.2668 eV per atom


VASP calculation (PBE-GGA) on NiBSeN2 after structural relaxation.

Cell: 3.160 3.160 7.507 Å, 90.00 90.00 90.00°
Element x y z (fractional)
1 N 0.000 0.500 0.000
2 N 0.500 0.000 0.000
3 B 0.000 0.000 0.000
4 Ni 0.500 0.500 0.500
5 Se 0.000 0.000 0.500

DOS(E_F) ... 3.77 states/eV/f.u.
Total magnetization ... 0.45 μB per formula unit
Polymorph energy (0 for the lowest one) ... 0.000 eV per atom
Energy relative to the elements, uncorrected ... 1005 meV/atom
VASP energy ... -5.5135 eV per atom


VASP calculation (PBE-GGA) on TaNiBN2 after structural relaxation.

Cell: 3.673 3.719 3.673 Å, 90.00 90.00 90.00°
Element x y z (fractional)
1 N 0.000 0.000 0.500
2 N 0.500 0.000 0.000
3 Ta 0.500 0.500 0.500
4 B 0.000 0.500 0.000
5 Ni 0.000 0.000 0.000

DOS(E_F) ... 2.99 states/eV/f.u.
Total magnetization ... 0.00 μB per formula unit
Energy relative to the elements, uncorrected ... 1117 meV/atom
VASP energy ... -7.0750 eV per atom